(1)
IrC2 | GGA-PBE | relaxed

Computed properties:
**Energy relative to the lowest polymorph listed for this composition**: 0.000 eV/atom
**Symmetry**: No. 64

Lattice parameters (Å, degrees): 5.179 5.179 10.110 90.00 90.00 115.53
Fractional coordinates of all 24 atoms:
1 C 0.159 0.315 0.035
2 C 0.659 0.815 0.465
3 C 0.185 0.341 0.535
4 C 0.167 0.804 0.716
5 C 0.667 0.304 0.784
6 C 0.315 0.159 0.035
7 C 0.196 0.833 0.284
8 C 0.304 0.667 0.784
9 C 0.804 0.167 0.716
10 C 0.333 0.696 0.216
11 C 0.815 0.659 0.465
12 C 0.341 0.185 0.535
13 C 0.841 0.685 0.965
14 C 0.696 0.333 0.216
15 C 0.685 0.841 0.965
16 C 0.833 0.196 0.284
17 Ir 0.746 0.746 0.760
18 Ir 0.254 0.254 0.240
19 Ir 0.761 0.239 0.500
20 Ir 0.754 0.754 0.260
21 Ir 0.739 0.261 0.000
22 Ir 0.239 0.761 0.500
23 Ir 0.261 0.739 0.000
24 Ir 0.246 0.246 0.740



(2)
AcDyPO | GGA-PBE | relaxed

Computed properties:
**Energy relative to the lowest polymorph listed for this composition**: 0.049 eV/atom
**Symmetry**: No. 26

Lattice parameters (Å, degrees): 4.507 6.261 7.493 90.00 90.00 90.00
Fractional coordinates of all 8 atoms:
1 P 0.000 0.440 0.693
2 P 0.000 0.940 0.307
3 O 0.500 0.365 0.150
4 O 0.500 0.865 0.850
5 Ac 0.000 0.942 0.705
6 Ac 0.000 0.442 0.295
7 Dy 0.500 0.008 0.119
8 Dy 0.500 0.508 0.881



(3)
LaSmNCl3 | GGA-PBE | relaxed

Computed properties:
**Symmetry**: No. 12

Lattice parameters (Å, degrees): 8.421 8.421 10.878 117.97 117.97 27.86
Fractional coordinates of all 12 atoms:
1 Cl 0.662 0.662 0.013
2 Cl 0.056 0.056 0.257
3 Cl 0.780 0.780 0.392
4 Cl 0.338 0.338 0.987
5 Cl 0.944 0.944 0.743
6 Cl 0.220 0.220 0.608
7 La 0.864 0.864 0.207
8 La 0.136 0.136 0.793
9 Sm 0.412 0.412 0.546
10 Sm 0.588 0.588 0.454
11 N 0.573 0.573 0.654
12 N 0.427 0.427 0.346



It is found that the calculated volume values, taken in the order of the records, are 10.20, 26.43, 26.30 A^3/atom.
It is found that the final energy values, taken in the order of the records, are -0.5933, -0.4975, -0.4465 Ry per atom.